# 1
Compound: ScReSi2
Source: the Alexandria database
Functional: PBE-GGA
Structure: optimized geometry

Values from the calculation:
Calculated density (g/cm³): 7.64
Energy relative to the elements, uncorrected (meV per atom): -363.7
V (Å³ per cell): 62.4

```
ScReSi2
1.0
3.072 0.000 0.000
0.000 3.072 0.000
0.000 0.000 6.616
Si Re Sc
2 1 1
direct
0.000 0.000 0.454
0.000 0.000 0.046
0.500 0.500 0.250
0.500 0.500 0.750
```

---

# 2
Compound: Ba7Ag2Au2
Source: the Alexandria database
Functional: PBE-GGA
Structure: optimized geometry

Values from the calculation:
Calculated density (g/cm³): 5.55
Energy relative to the elements (eV/atom): -0.356
V (Å³ per cell): 469.9
Relative energy among the computed polymorphs (meV per atom): 0

```
Ba7Ag2Au2
1.0
-0.434 -0.799 -4.495
8.861 -6.078 -2.115
-1.132 -10.888 -0.295
Ag Ba Au
2 7 2
direct
0.500 0.344 0.656
0.000 0.769 0.231
0.867 0.390 0.875
0.500 0.997 0.003
0.386 0.719 0.509
0.190 0.710 0.910
0.133 0.125 0.610
0.810 0.090 0.290
0.614 0.491 0.281
0.744 0.866 0.646
0.256 0.354 0.134
```